a.
VASP calculation (GGA-PBE) on a relaxed SrLa2Re crystal.

CIF file:
```
data_SrLa2Re
_chemical_formula_sum 'Sr2 La4 Re2'
_symmetry_space_group_name_H-M 'I m m 2'
_symmetry_Int_Tables_number 44
_symmetry_space_group_name_Hall 'I 2 -2'
_cell_length_a 3.5895
_cell_length_b 4.9441
_cell_length_c 15.7443
_cell_angle_alpha 90.00
_cell_angle_beta 90.00
_cell_angle_gamma 90.00
loop_
_atom_site_label
_atom_site_type_symbol
_atom_site_fract_x
_atom_site_fract_y
_atom_site_fract_z
Sr1 Sr 0.0000 0.0000 0.0000
La1 La 0.0000 0.0000 0.3220
La2 La 0.0000 0.5000 0.1680
Re1 Re 0.0000 0.5000 0.6825
```

Computed properties:
Magnetic moment ... 0.0 μB/f.u.

=====

b.
VASP calculation (GGA-PBE) on a relaxed SrLa2Re crystal.

CIF file:
```
data_SrLa2Re
_chemical_formula_sum 'Sr2 La4 Re2'
_symmetry_space_group_name_H-M 'I m m m'
_symmetry_Int_Tables_number 71
_symmetry_space_group_name_Hall '-I 2 2'
_cell_length_a 3.9543
_cell_length_b 6.1959
_cell_length_c 10.8026
_cell_angle_alpha 90.00
_cell_angle_beta 90.00
_cell_angle_gamma 90.00
loop_
_atom_site_label
_atom_site_type_symbol
_atom_site_fract_x
_atom_site_fract_y
_atom_site_fract_z
Sr1 Sr 0.0000 0.0000 0.0000
La1 La 0.0000 0.5000 0.1805
Re1 Re 0.0000 0.0000 0.5000
```

Computed properties:
Magnetic moment ... 0.0 μB/f.u.

=====

c.
VASP calculation (GGA-PBE) on a relaxed SrLa2Re crystal.

CIF file:
```
data_SrLa2Re
_chemical_formula_sum 'Sr3 La6 Re3'
_symmetry_space_group_name_H-M 'R 3 m'
_symmetry_Int_Tables_number 160
_symmetry_space_group_name_Hall 'R 3 -2"'
_cell_length_a 3.6379
_cell_length_b 3.6379
_cell_length_c 32.9884
_cell_angle_alpha 90.00
_cell_angle_beta 90.00
_cell_angle_gamma 120.00
loop_
_atom_site_label
_atom_site_type_symbol
_atom_site_fract_x
_atom_site_fract_y
_atom_site_fract_z
Sr1 Sr 0.0000 0.0000 0.0000
La1 La 0.0000 0.0000 0.5366
La2 La 0.0000 0.0000 0.7763
Re1 Re 0.0000 0.0000 0.2621
```

Computed properties:
Magnetic moment ... 0.1 μB/f.u.

=====

If you had to bet on the most stable structure above, which would it be? Bet on b.